Entry 1:
The following is a PBE calculation of a relaxed PrNi2Ge4 crystal, from Alexandria via LeMat-Bulk.

Output
Total magnetic moment in Bohr magnetons per cell: 0.00
Crystal system: orthorhombic
Energy in eV/cell: -151.10
Energy of formation in eV/atom: -0.423

Cell and atoms, written as POSCAR:
```
PrNi2Ge4
1.0
4.117 0.000 0.000
0.000 6.631 0.000
0.000 0.000 17.904
Ge Ni Pr
16 8 4
direct
0.750 0.297 0.324 Ge
0.750 0.805 0.794 Ge
0.750 0.519 0.566 Ge
0.750 0.862 0.476 Ge
0.750 0.638 0.976 Ge
0.250 0.703 0.676 Ge
0.750 0.981 0.066 Ge
0.750 0.203 0.824 Ge
0.750 0.695 0.294 Ge
0.250 0.797 0.176 Ge
0.250 0.138 0.524 Ge
0.250 0.019 0.934 Ge
0.250 0.305 0.706 Ge
0.250 0.481 0.434 Ge
0.250 0.195 0.206 Ge
0.250 0.362 0.024 Ge
0.750 0.253 0.467 Ni
0.250 0.003 0.794 Ni
0.750 0.247 0.967 Ni
0.750 0.997 0.206 Ni
0.250 0.497 0.294 Ni
0.250 0.753 0.033 Ni
0.250 0.747 0.533 Ni
0.750 0.503 0.706 Ni
0.250 0.529 0.860 Pr
0.250 0.971 0.360 Pr
0.750 0.029 0.640 Pr
0.750 0.471 0.140 Pr
```

=====

Entry 2:
The following is a PBE calculation of a relaxed Pr2Ni3Ge4 crystal, from Alexandria via LeMat-Bulk.

Output
Total magnetic moment in Bohr magnetons per cell: 0.00
Crystal system: orthorhombic
Energy in eV/cell: -49.81
Energy of formation in eV/atom: -0.493

Cell and atoms, written as POSCAR:
```
Pr2Ni3Ge4
1.0
-4.790 -1.314 -2.707
4.889 -2.652 -1.029
-1.351 -2.074 6.141
Ni Ge Pr
3 4 2
direct
0.000 0.500 0.000 Ni
0.000 0.000 0.000 Ni
0.500 0.000 0.000 Ni
0.326 0.976 0.303 Ge
0.674 0.024 0.697 Ge
0.024 0.674 0.697 Ge
0.976 0.326 0.303 Ge
0.638 0.638 0.276 Pr
0.362 0.362 0.724 Pr
```

=====

Entry 3:
The following is a PBE calculation of a relaxed Pr2NiGe crystal, from Alexandria via LeMat-Bulk.

Output
Total magnetic moment in Bohr magnetons per cell: 0.00
Crystal system: monoclinic
Energy in eV/cell: -44.33
Energy of formation in eV/atom: -0.552

Cell and atoms, written as POSCAR:
```
Pr2NiGe
1.0
-0.965 3.442 -2.328
2.702 -2.493 -4.805
-7.916 -2.070 0.220
Pr Ge Ni
4 2 2
direct
0.750 0.223 0.410 Pr
0.250 0.770 0.052 Pr
0.750 0.230 0.948 Pr
0.250 0.777 0.590 Pr
0.750 0.665 0.295 Ge
0.250 0.335 0.705 Ge
0.750 0.587 0.775 Ni
0.250 0.413 0.225 Ni
```

=====

Entry 4:
The following is a PBE calculation of a relaxed PrNi4Ge crystal, from Alexandria via LeMat-Bulk.

Output
Total magnetic moment in Bohr magnetons per cell: 0.00
Crystal system: orthorhombic
Energy in eV/cell: -68.49
Energy of formation in eV/atom: -0.287

Cell and atoms, written as POSCAR:
```
PrNi4Ge
1.0
-0.636 3.633 0.976
-0.928 -1.982 6.772
6.773 0.869 1.182
Ni Ge Pr
8 2 2
direct
0.500 0.756 0.448 Ni
0.500 0.244 0.948 Ni
0.000 0.000 0.000 Ni
0.500 0.951 0.750 Ni
0.000 0.000 0.500 Ni
0.500 0.049 0.250 Ni
0.500 0.756 0.052 Ni
0.500 0.244 0.552 Ni
0.000 0.219 0.750 Ge
0.000 0.781 0.250 Ge
0.000 0.357 0.250 Pr
0.000 0.643 0.750 Pr
```

=====

Entry 5:
The following is a PBE calculation of a relaxed Pr2Ni3Ge5 crystal, from Alexandria via LeMat-Bulk.

Output
Total magnetic moment in Bohr magnetons per cell: 0.00
Crystal system: orthorhombic
Energy in eV/cell: -113.13
Energy of formation in eV/atom: -0.657

Cell and atoms, written as POSCAR:
```
Pr2Ni3Ge5
1.0
-0.117 -4.136 -4.355
3.589 -7.058 2.464
-6.078 -5.502 1.246
Ge Pr Ni
10 4 6
direct
0.102 0.051 0.745 Ge
0.602 0.745 0.051 Ge
0.898 0.949 0.255 Ge
0.513 0.237 0.237 Ge
0.013 0.237 0.237 Ge
0.987 0.763 0.763 Ge
0.250 0.500 0.500 Ge
0.487 0.763 0.763 Ge
0.398 0.255 0.949 Ge
0.750 0.500 0.500 Ge
0.133 0.606 0.129 Pr
0.867 0.394 0.871 Pr
0.367 0.871 0.394 Pr
0.633 0.129 0.606 Pr
0.250 0.000 0.000 Ni
0.866 0.744 0.524 Ni
0.634 0.476 0.256 Ni
0.366 0.524 0.744 Ni
0.134 0.256 0.476 Ni
0.750 0.000 0.000 Ni
```

=====

Entry 6:
The following is a PBE calculation of a relaxed Pr3NiGe2 crystal, from Alexandria via LeMat-Bulk.

Output
Total magnetic moment in Bohr magnetons per cell: 2.65
Crystal system: orthorhombic
Energy in eV/cell: -134.38
Energy of formation in eV/atom: -0.707

Cell and atoms, written as POSCAR:
```
Pr3NiGe2
1.0
4.317 0.000 0.000
0.000 11.814 0.000
0.000 0.000 11.913
Ge Ni Pr
8 4 12
direct
0.250 0.494 0.803 Ge
0.250 0.688 0.475 Ge
0.250 0.812 0.975 Ge
0.750 0.994 0.697 Ge
0.250 0.006 0.303 Ge
0.750 0.506 0.197 Ge
0.750 0.312 0.525 Ge
0.750 0.188 0.025 Ge
0.750 0.634 0.371 Ni
0.750 0.866 0.871 Ni
0.250 0.134 0.129 Ni
0.250 0.366 0.629 Ni
0.250 0.696 0.215 Pr
0.750 0.943 0.117 Pr
0.250 0.126 0.559 Pr
0.250 0.804 0.715 Pr
0.750 0.557 0.617 Pr
0.750 0.626 0.941 Pr
0.750 0.874 0.441 Pr
0.750 0.304 0.785 Pr
0.250 0.443 0.383 Pr
0.250 0.374 0.059 Pr
0.250 0.057 0.883 Pr
0.750 0.196 0.285 Pr
```

=====

Entry 7:
The following is a PBE calculation of a relaxed PrNi2Ge3 crystal, from Alexandria via LeMat-Bulk.

Output
Total magnetic moment in Bohr magnetons per cell: 0.00
Crystal system: tetragonal
Energy in eV/cell: -67.16
Energy of formation in eV/atom: -0.564

Cell and atoms, written as POSCAR:
```
PrNi2Ge3
1.0
4.107 0.000 -0.667
-0.108 4.106 -0.667
-0.068 -0.070 12.555
Ge Ni Pr
6 4 2
direct
0.051 0.551 0.103 Ge
0.949 0.449 0.897 Ge
0.301 0.301 0.602 Ge
0.699 0.699 0.398 Ge
0.551 0.051 0.103 Ge
0.449 0.949 0.897 Ge
0.401 0.401 0.802 Ni
0.750 0.250 0.500 Ni
0.599 0.599 0.198 Ni
0.250 0.750 0.500 Ni
0.153 0.153 0.305 Pr
0.847 0.847 0.695 Pr
```

=====

Entry 8:
The following is a PBE calculation of a relaxed PrNi3Ge crystal, from Alexandria via LeMat-Bulk.

Output
Total magnetic moment in Bohr magnetons per cell: 0.00
Crystal system: hexagonal
Energy in eV/cell: -112.08
Energy of formation in eV/atom: -0.256

Cell and atoms, written as POSCAR:
```
PrNi3Ge
1.0
-0.988 -0.731 -5.641
-2.073 -3.810 3.811
-9.859 6.278 0.914
Ni Pr Ge
12 4 4
direct
0.728 0.864 0.750 Ni
0.272 0.136 0.250 Ni
0.136 0.272 0.750 Ni
0.500 0.000 0.500 Ni
0.864 0.136 0.250 Ni
0.136 0.864 0.750 Ni
0.500 0.000 0.000 Ni
0.500 0.500 0.000 Ni
0.000 0.500 0.000 Ni
0.500 0.500 0.500 Ni
0.000 0.500 0.500 Ni
0.864 0.728 0.250 Ni
0.000 0.000 0.500 Pr
0.667 0.333 0.750 Pr
0.000 0.000 0.000 Pr
0.333 0.667 0.250 Pr
0.333 0.667 0.863 Ge
0.667 0.333 0.363 Ge
0.333 0.667 0.637 Ge
0.667 0.333 0.137 Ge
```

=====

Entry 9:
The following is a PBE calculation of a relaxed Pr3Ni9Ge2 crystal, from Alexandria via LeMat-Bulk.

Output
Total magnetic moment in Bohr magnetons per cell: 0.00
Crystal system: orthorhombic
Energy in eV/cell: -80.31
Energy of formation in eV/atom: -0.336

Cell and atoms, written as POSCAR:
```
Pr3Ni9Ge2
1.0
3.996 0.000 0.000
1.998 7.723 0.053
1.998 1.803 7.509
Pr Ni Ge
3 9 2
direct
0.692 0.308 0.308 Pr
0.308 0.692 0.692 Pr
0.000 0.000 0.000 Pr
0.695 0.612 0.997 Ni
0.305 0.003 0.388 Ni
0.305 0.388 0.003 Ni
0.107 0.173 0.613 Ni
0.695 0.997 0.612 Ni
0.107 0.613 0.173 Ni
0.893 0.827 0.387 Ni
0.000 0.500 0.500 Ni
0.893 0.387 0.827 Ni
0.500 0.733 0.267 Ge
0.500 0.267 0.733 Ge
```

=====

Entry 10:
The following is a PBE calculation of a relaxed Pr4NiGe3 crystal, from Alexandria via LeMat-Bulk.

Output
Total magnetic moment in Bohr magnetons per cell: 0.00
Crystal system: orthorhombic
Energy in eV/cell: -44.15
Energy of formation in eV/atom: -0.675

Cell and atoms, written as POSCAR:
```
Pr4NiGe3
1.0
-2.985 0.982 3.045
0.029 -3.965 1.307
8.123 2.426 7.180
Ge Pr Ni
3 4 1
direct
0.000 0.000 0.422 Ge
0.500 0.000 0.933 Ge
0.000 0.500 0.581 Ge
0.500 0.000 0.643 Pr
0.500 0.500 0.355 Pr
0.000 0.000 0.136 Pr
0.000 0.500 0.868 Pr
0.500 0.500 0.062 Ni
```

=====

Entry 11:
The following is a PBE calculation of a relaxed Pr3Ni2Ge4 crystal, from Alexandria via LeMat-Bulk.

Output
Total magnetic moment in Bohr magnetons per cell: 0.00
Crystal system: monoclinic
Energy in eV/cell: -51.22
Energy of formation in eV/atom: -0.761

Cell and atoms, written as POSCAR:
```
Pr3Ni2Ge4
1.0
-0.980 -3.892 1.271
5.212 0.012 -2.918
2.750 1.820 7.690
Ni Ge Pr
2 4 3
direct
0.606 0.212 0.281 Ni
0.394 0.788 0.719 Ni
0.060 0.120 0.380 Ge
0.281 0.562 0.928 Ge
0.940 0.880 0.620 Ge
0.719 0.438 0.072 Ge
0.662 0.323 0.661 Pr
0.000 0.000 0.000 Pr
0.338 0.677 0.339 Pr
```

=====

Entry 12:
The following is a PBE calculation of a relaxed Pr4NiGe8 crystal, from Alexandria via LeMat-Bulk.

Output
Total magnetic moment in Bohr magnetons per cell: 0.00
Crystal system: orthorhombic
Energy in eV/cell: -70.14
Energy of formation in eV/atom: -0.639

Cell and atoms, written as POSCAR:
```
Pr4NiGe8
1.0
4.090 0.000 0.000
0.000 4.229 0.000
0.000 0.000 16.990
Ge Pr Ni
8 4 1
direct
0.500 0.000 0.547 Ge
0.000 0.000 0.454 Ge
0.000 0.500 0.952 Ge
0.000 0.500 0.244 Ge
0.500 0.500 0.046 Ge
0.000 0.000 0.746 Ge
0.500 0.500 0.753 Ge
0.500 0.000 0.245 Ge
0.000 0.500 0.605 Pr
0.500 0.500 0.395 Pr
0.500 0.000 0.895 Pr
0.000 0.000 0.108 Pr
0.000 0.000 0.313 Ni
```